# 1
TcAs2SBr after structural relaxation. Source: the Alexandria database, functional PBE.

Structure (extended XYZ):
```
5
Lattice="-3.665 -2.247 -2.152 2.788 -3.848 -0.731 -1.424 -1.862 4.370" Properties=species:S:1:pos:R:3 pbc="T T T"
As 1.394 -1.924 -0.365
As -1.833 -1.123 -1.076
S -1.151 -3.978 0.744
Tc 0.000 0.000 0.000
Br -0.712 -0.931 2.185
```

Computed properties:
Energy above the lowest structure with this stoichiometry = 0.00 eV/f.u.



# 2
CoBiIN2 after structural relaxation. Source: the Alexandria database, functional PBE.

Structure (extended XYZ):
```
5
Lattice="4.163 0.000 0.000 0.000 4.163 0.000 0.000 0.000 5.074" Properties=species:S:1:pos:R:3 pbc="T T T"
N 0.000 2.081 0.000
N 2.081 0.000 0.000
I 0.000 0.000 2.537
Bi 2.081 2.081 2.537
Co 0.000 0.000 0.000
```

Computed properties:
Energy above the lowest structure with this stoichiometry = 0.00 eV/f.u.



# 3
FeSb2Cl after structural relaxation. Source: the Alexandria database, functional PBE.

Structure (extended XYZ):
```
4
Lattice="8.881 0.194 0.091 8.192 3.436 0.091 0.371 0.079 3.245" Properties=species:S:1:pos:R:3 pbc="T T T"
Fe 4.981 1.059 0.268
Sb 15.504 3.297 0.680
Sb 12.550 2.669 2.091
Cl 10.204 2.170 2.285
```

Computed properties:
Energy above the lowest structure with this stoichiometry = 0.31 eV/f.u.



# 4
PSeN2F after structural relaxation. Source: the Alexandria database, functional PBE.

Structure (extended XYZ):
```
5
Lattice="3.297 0.000 0.000 0.000 3.297 0.000 0.000 0.000 5.908" Properties=species:S:1:pos:R:3 pbc="T T T"
Se 0.000 0.000 2.954
N 0.000 1.649 0.000
N 1.649 0.000 0.000
F 1.649 1.649 2.954
P 0.000 0.000 0.000
```

Computed properties:
Energy above the lowest structure with this stoichiometry = 0.00 eV/f.u.



# 5
Al2AgGeSe6 after structural relaxation. Source: the Alexandria database, functional PBE.

Structure (extended XYZ):
```
20
Lattice="-1.456 5.342 3.912 3.523 -1.693 8.737 5.975 7.098 -2.354" Properties=species:S:1:pos:R:3 pbc="T T T"
Se 0.329 1.750 3.260
Se 7.713 8.997 7.035
Se 3.582 2.789 1.698
Se 0.076 6.123 3.069
Se 5.532 6.519 5.086
Se 4.460 7.958 8.597
Se 5.399 10.368 5.118
Se 4.996 3.639 8.282
Se 2.510 4.227 5.209
Se 3.046 7.107 2.013
Se 7.966 4.624 7.226
Se 2.643 0.378 5.177
Al 4.841 4.385 6.039
Al 4.507 8.468 6.213
Al 3.201 6.362 4.255
Al 3.535 2.279 4.082
Ag 4.444 9.531 2.564
Ag 3.598 1.215 7.731
Ge 2.892 3.966 9.586
Ge 5.150 6.781 0.709
```



# 6
Ag2GeSb2 after structural relaxation. Source: the Alexandria database, functional PBE.

Structure (extended XYZ):
```
10
Lattice="-1.135 -5.048 6.720 8.403 -0.530 1.021 -0.071 2.590 1.933" Properties=species:S:1:pos:R:3 pbc="T T T"
Sb 2.479 -1.081 1.540
Sb 6.523 -2.047 2.984
Sb 4.788 -4.497 6.202
Sb 0.744 -3.531 4.758
Ag 6.665 -2.297 6.026
Ag 2.166 -3.354 7.277
Ag 0.531 -0.691 3.649
Ag 5.030 0.366 2.398
Ge 3.634 -2.789 3.871
Ge 0.000 0.000 0.000
```

Computed properties:
Energy above the lowest structure with this stoichiometry = 0.00 eV/f.u.



# 7
Ca2SiAg2 after structural relaxation. Source: the Alexandria database, functional PBE.

Structure (extended XYZ):
```
5
Lattice="-2.143 2.319 2.095 -2.814 -2.538 -0.069 0.656 -3.783 8.286" Properties=species:S:1:pos:R:3 pbc="T T T"
Ca -1.858 -0.837 2.454
Ca -2.444 -3.164 7.858
Ag -2.318 -3.215 4.615
Ag -1.983 -0.786 5.697
Si 0.000 0.000 0.000
```

Computed properties:
Energy above the lowest structure with this stoichiometry = 0.81 eV/f.u.



# 8
NdYTaN3 after structural relaxation. Source: the Alexandria database, functional PBE.

Structure (extended XYZ):
```
12
Lattice="3.366 0.000 0.000 0.000 6.547 0.772 0.000 -1.974 9.344" Properties=species:S:1:pos:R:3 pbc="T T T"
N 2.524 5.397 2.711
N 2.524 2.360 1.467
N 2.524 0.373 4.526
N 0.841 4.200 5.590
N 0.841 2.213 8.649
N 0.841 -0.824 7.405
Y 2.524 0.463 8.535
Y 0.841 4.111 1.582
Ta 0.841 -0.214 5.520
Ta 2.524 4.788 4.596
Nd 0.841 0.865 2.443
Nd 2.524 3.708 7.673
```



These records have V values of 22.9, 17.6, 23.4, 12.8, 27.3, 23.3, 25.1, 17.6 A^3/atom, in the order they appear.
These records have E_form (uncorrected) values of 614.0, 1465.2, -5.0, 562.8, -417.6, 240.8, -147.2, -1084.0 meV/atom, in the order they appear.
These records have total moment values of 0.00, 3.01, 1.04, 0.13, 0.00, 0.00, 0.00, 0.00 μB per formula unit, in the order they appear.